(1)
Compound: Ba2ZrCl
Source: Alexandria via LeMat-Bulk
Functional: GGA-PBE
Structure: optimized geometry

Properties
energy = -3.678 eV per atom
crystal system = tetragonal
polymorph energy (0 for the lowest one) = 0.293 eV per atom
V = 43.88 A^3/atom

Lattice parameters (Å, degrees): 3.812 3.812 12.081 90.00 90.00 90.00
Last column: magnetic moment on the atom in μB.
Positions (direct):
Ba  0.000  0.000  0.981  0.08
Ba  0.500  0.500  0.312  0.01
Cl  0.000  0.000  0.434  0.01
Zr  0.500  0.500  0.773  0.98

***

(2)
Compound: Ba2ZrCl
Source: Alexandria via LeMat-Bulk
Functional: GGA-PBE
Structure: optimized geometry

Properties
energy = -3.792 eV per atom
crystal system = monoclinic
polymorph energy (0 for the lowest one) = 0.179 eV per atom
V = 34.80 A^3/atom

Lattice parameters (Å, degrees): 9.445 6.179 3.646 89.76 67.63 130.69
Last column: magnetic moment on the atom in μB.
Positions (direct):
Ba  0.000  0.000  0.000  -0.02
Ba  0.500  0.000  0.500  -0.02
Cl  0.000  0.500  0.500  -0.01
Zr  0.500  0.500  0.000  -0.24